(1)
HgSbP after structural relaxation, computed with PBE.

Lattice parameters (Å, degrees): 8.1489 7.8799 3.3514 82.47 73.47 24.06
Fractional coordinates of all 3 atoms:
Hg1 0.0000 0.0000 0.0000
Sb1 0.2945 0.2945 0.7055
P1 0.6762 0.6762 0.3238

Computed properties:
energy relative to the elements, uncorrected: 383 meV per atom
theoretical density: 7.39 g/cm3
distance to the lowest polymorph of the same formula: 277.9 meV/atom

---

(2)
Hg2H5Pt4 after structural relaxation, computed with PBE.

Lattice parameters (Å, degrees): 5.4790 5.4790 6.1470 94.68 94.68 49.13
Fractional coordinates of all 11 atoms:
Hg1 0.0973 0.0973 0.2278
Hg2 0.9027 0.9027 0.7722
H1 0.0757 0.5948 0.3241
H2 0.4052 0.9243 0.6759
H3 0.5000 0.5000 0.5000
H4 0.5948 0.0757 0.3241
H5 0.9243 0.4052 0.6759
Pt1 0.2519 0.2519 0.8496
Pt2 0.4468 0.4468 0.2226
Pt3 0.5532 0.5532 0.7774
Pt4 0.7481 0.7481 0.1504

Computed properties:
theoretical density: 14.18 g/cm3
E: -3.72 eV/atom

---

(3)
CaIn2HgIr after structural relaxation, computed with PBE.

Lattice parameters (Å, degrees): 5.1753 5.1753 5.5067 90.00 90.00 90.00
Fractional coordinates of all 5 atoms:
Ca1 0.0000 0.0000 0.0000
In1 0.0000 0.5000 0.5000
In2 0.5000 0.0000 0.5000
Hg1 0.5000 0.5000 0.0000
Ir1 0.0000 0.0000 0.5000

Computed properties:
theoretical density: 7.46 g/cm3
calculated formation energy: -255.0 meV per atom
distance to the lowest polymorph of the same formula: 0.0 meV/atom

---

(4)
Zn2TcIrRh after structural relaxation, computed with PBE.

Lattice parameters (Å, degrees): 4.6979 4.6979 4.5871 90.00 90.00 90.00
Fractional coordinates of all 5 atoms:
Zn1 0.0000 0.5000 0.0000
Zn2 0.5000 0.0000 0.0000
Tc1 0.0000 0.0000 0.0000
Ir1 0.0000 0.0000 0.5000
Rh1 0.5000 0.5000 0.5000

Computed properties:
theoretical density: 8.59 g/cm3
calculated formation energy: 1311.0 meV per atom

---

(5)
FeIr5Ru2 after structural relaxation, computed with PBE.

Lattice parameters (Å, degrees): 5.6940 5.6940 4.1577 90.00 90.00 90.00
Fractional coordinates of all 8 atoms:
Fe1 0.0000 0.0000 0.0000
Ir1 0.0000 0.0000 0.5000
Ir2 0.2879 0.2879 0.0000
Ir3 0.2879 0.7121 0.0000
Ir4 0.7121 0.2879 0.0000
Ir5 0.7121 0.7121 0.0000
Ru1 0.0000 0.5000 0.5000
Ru2 0.5000 0.0000 0.5000

Computed properties:
theoretical density: 15.02 g/cm3
calculated formation energy: 1161.7 meV per atom

---

(6)
LaPr6SmHo2 after structural relaxation, computed with PBE.

Lattice parameters (Å, degrees): 9.0272 9.0272 9.8849 94.25 94.25 117.34
Fractional coordinates of all 20 atoms:
La1 0.0942 0.9058 0.7500
La2 0.9058 0.0942 0.2500
Pr1 0.0102 0.7966 0.3794
Pr2 0.0661 0.5168 0.1823
Pr3 0.2034 0.9898 0.1206
Pr4 0.2587 0.6088 0.5557
Pr5 0.3912 0.7413 0.9443
Pr6 0.4832 0.9339 0.3177
Pr7 0.5168 0.0661 0.6823
Pr8 0.6088 0.2587 0.0557
Pr9 0.7413 0.3912 0.4443
Pr10 0.7966 0.0102 0.8794
Pr11 0.9339 0.4832 0.8177
Pr12 0.9898 0.2034 0.6206
Sm1 0.4697 0.5303 0.2500
Sm2 0.5303 0.4697 0.7500
Ho1 0.2094 0.3048 0.9529
Ho2 0.3048 0.2094 0.4529
Ho3 0.6952 0.7906 0.5471
Ho4 0.7906 0.6952 0.0471

Computed properties:
theoretical density: 6.87 g/cm3
calculated formation energy: 109.4 meV per atom